# La4ZnRh, optimized geometry, DFT GGA-PBE
data_La4ZnRh
_chemical_formula_sum 'La16 Zn4 Rh4'
_space_group_name_H-M_alt 'C 1 2/c 1'
_space_group_IT_number 15
_cell_length_a 9.275
_cell_length_b 14.969
_cell_length_c 7.090
_cell_angle_alpha 90.00
_cell_angle_beta 127.35
_cell_angle_gamma 90.00
loop_
_space_group_symop_operation_xyz
'x,y,z'
'-x,-y,-z'
'-x,y,-z+1/2'
'x,-y,z+1/2'
'x+1/2,y+1/2,z'
'-x+1/2,-y+1/2,-z'
'-x+1/2,y+1/2,-z+1/2'
'x+1/2,-y+1/2,z+1/2'
loop_
_atom_site_label
_atom_site_type_symbol
_atom_site_fract_x
_atom_site_fract_y
_atom_site_fract_z
La1 La 0.172 0.219 0.169
La2 La 0.242 0.035 0.747
Zn1 Zn 0.000 0.377 0.750
Rh1 Rh 0.000 0.090 0.250
# **Excess energy over the best structure of this formula in the dataset**: 105 meV/atom
# **E_form**: -291.6 meV/atom
# **Theoretical density**: 6.14 g cm⁻³